## Nd6SiOs2I3 (PBE)

Data for a relaxed structure of Nd6SiOs2I3.

The structure in POSCAR format:
```
Nd6SiOs2I3
1.0
7.3810 -0.0029 -0.0057
-3.6912 6.3918 -0.0057
-1.2362 -2.1405 8.0279
Nd I Os Si
6 3 2 1
Cartesian
2.4024 4.1598 1.4945 Nd
3.7463 2.0228 6.5115 Nd
2.5738 -0.0074 1.5050 Nd
0.0512 0.0886 6.5220 Nd
-0.1201 4.2558 6.5115 Nd
-1.2927 2.2256 1.5050 Nd
-2.4978 4.2753 4.0083 I
4.9515 -0.0269 4.0083 I
1.2268 2.1242 4.0083 I
-0.0019 4.2611 -0.0057 Os
3.6918 2.1278 -0.0057 Os
0.0000 0.0000 0.0000 Si
```

Summary:
raw formation energy	-656	meV per atom
DOS(E_F)	9.39	states/eV per cell
E	-5.75	eV per atom